(1)
Computed, not measured: Na2Sn4GeAu3 after structural relaxation at the GGA-PBE level of DFT.

CIF file:
```
data_Na2Sn4GeAu3
_chemical_formula_sum 'Na2 Sn4 Ge1 Au3'
_cell_length_a 4.674
_cell_length_b 4.674
_cell_length_c 11.752
_cell_angle_alpha 90.00
_cell_angle_beta 90.00
_cell_angle_gamma 90.00
_symmetry_space_group_name_H-M 'P -4 m 2'
_symmetry_Int_Tables_number 115
_symmetry_space_group_name_Hall 'P -4 -2'
loop_
_atom_site_label
_atom_site_type_symbol
_atom_site_fract_x
_atom_site_fract_y
_atom_site_fract_z
_atom_site_occupancy
Na1 Na 0.000 0.500 0.246 1
Sn1 Sn 0.000 0.000 0.500 1
Sn2 Sn 0.000 0.500 0.867 1
Sn3 Sn 0.500 0.500 0.500 1
Ge1 Ge 0.500 0.500 0.000 1
Au1 Au 0.000 0.000 0.000 1
Au2 Au 0.000 0.500 0.638 1
```

Values from the calculation:
E_form = -0.1923 eV/atom
Total DFT energy (no corrections) = -3.50 eV per atom
Volume = 257 Å³/cell
Size of the total moment = 0.00 μB per cell

---

(2)
Computed, not measured: NaSr2Ge3Au4 after structural relaxation at the GGA-PBE level of DFT.

CIF file:
```
data_NaSr2Ge3Au4
_chemical_formula_sum 'Na1 Sr2 Ge3 Au4'
_cell_length_a 4.595
_cell_length_b 4.595
_cell_length_c 10.888
_cell_angle_alpha 90.00
_cell_angle_beta 90.00
_cell_angle_gamma 90.00
_symmetry_space_group_name_H-M 'P -4 m 2'
_symmetry_Int_Tables_number 115
_symmetry_space_group_name_Hall 'P -4 -2'
loop_
_atom_site_label
_atom_site_type_symbol
_atom_site_fract_x
_atom_site_fract_y
_atom_site_fract_z
_atom_site_occupancy
Na1 Na 0.000 0.000 0.000 1
Sr1 Sr 0.000 0.500 0.737 1
Ge1 Ge 0.000 0.500 0.374 1
Ge2 Ge 0.500 0.500 0.000 1
Au1 Au 0.000 0.000 0.500 1
Au2 Au 0.000 0.500 0.140 1
Au3 Au 0.500 0.500 0.500 1
```

Values from the calculation:
E_form = -0.4906 eV/atom
Total DFT energy (no corrections) = -3.66 eV per atom
Volume = 230 Å³/cell
Size of the total moment = 0.00 μB per cell

---

(3)
Computed, not measured: NaSr2Ge4Au3 after structural relaxation at the GGA-PBE level of DFT.

CIF file:
```
data_NaSr2Ge4Au3
_chemical_formula_sum 'Na1 Sr2 Ge4 Au3'
_cell_length_a 4.544
_cell_length_b 4.544
_cell_length_c 11.159
_cell_angle_alpha 90.00
_cell_angle_beta 90.00
_cell_angle_gamma 90.00
_symmetry_space_group_name_H-M 'P -4 m 2'
_symmetry_Int_Tables_number 115
_symmetry_space_group_name_Hall 'P -4 -2'
loop_
_atom_site_label
_atom_site_type_symbol
_atom_site_fract_x
_atom_site_fract_y
_atom_site_fract_z
_atom_site_occupancy
Na1 Na 0.000 0.000 0.000 1
Sr1 Sr 0.000 0.500 0.747 1
Ge1 Ge 0.000 0.000 0.500 1
Ge2 Ge 0.000 0.500 0.146 1
Ge3 Ge 0.500 0.500 0.500 1
Au1 Au 0.000 0.500 0.374 1
Au2 Au 0.500 0.500 0.000 1
```

Values from the calculation:
E_form = -0.4141 eV/atom
Total DFT energy (no corrections) = -3.71 eV per atom
Volume = 230 Å³/cell
Size of the total moment = 0.00 μB per cell

---

(4)
Computed, not measured: NaSrGeAu after structural relaxation at the GGA-PBE level of DFT.

CIF file:
```
data_NaSrGeAu
_chemical_formula_sum 'Na4 Sr4 Ge4 Au4'
_cell_length_a 7.180
_cell_length_b 7.180
_cell_length_c 7.180
_cell_angle_alpha 90.00
_cell_angle_beta 90.00
_cell_angle_gamma 90.00
_symmetry_space_group_name_H-M 'F -4 3 m'
_symmetry_Int_Tables_number 216
_symmetry_space_group_name_Hall 'F -4 2 3'
loop_
_atom_site_label
_atom_site_type_symbol
_atom_site_fract_x
_atom_site_fract_y
_atom_site_fract_z
_atom_site_occupancy
Na1 Na 0.000 0.000 0.000 1
Sr1 Sr 0.250 0.250 0.250 1
Ge1 Ge 0.250 0.250 0.750 1
Au1 Au 0.000 0.000 0.500 1
```

Values from the calculation:
E_form = -0.3234 eV/atom
Total DFT energy (no corrections) = -3.05 eV per atom
Volume = 370 Å³/cell
Size of the total moment = 0.00 μB per cell

---

(5)
Computed, not measured: NaSr2Ge3Au12 after structural relaxation at the GGA-PBE level of DFT.

CIF file:
```
data_NaSr2Ge3Au12
_chemical_formula_sum 'Na3 Sr6 Ge9 Au36'
_cell_length_a 9.5512
_cell_length_b 9.5512
_cell_length_c 16.6280
_cell_angle_alpha 90.00
_cell_angle_beta 90.00
_cell_angle_gamma 120.00
_symmetry_space_group_name_H-M 'R -3 m'
_symmetry_Int_Tables_number 166
_symmetry_space_group_name_Hall '-R 3 2"'
loop_
_atom_site_label
_atom_site_type_symbol
_atom_site_fract_x
_atom_site_fract_y
_atom_site_fract_z
_atom_site_occupancy
Na1 Na 0.0000 0.0000 0.0000 1
Sr1 Sr 0.0000 0.0000 0.3876 1
Ge1 Ge 0.0000 0.5000 0.5000 1
Au1 Au 0.0010 0.5005 0.3483 1
Au2 Au 0.0160 0.5080 0.8257 1
```

Values from the calculation:
E_form = -0.1108 eV/atom
Total DFT energy (no corrections) = -3.33 eV per atom
Volume = 1314 Å³/cell
Size of the total moment = 0.00 μB per cell

---

(6)
Computed, not measured: NaTbGeAu after structural relaxation at the GGA-PBE level of DFT.

CIF file:
```
data_NaTbGeAu
_chemical_formula_sum 'Na4 Tb4 Ge4 Au4'
_cell_length_a 7.060
_cell_length_b 7.060
_cell_length_c 7.060
_cell_angle_alpha 90.00
_cell_angle_beta 90.00
_cell_angle_gamma 90.00
_symmetry_space_group_name_H-M 'F -4 3 m'
_symmetry_Int_Tables_number 216
_symmetry_space_group_name_Hall 'F -4 2 3'
loop_
_atom_site_label
_atom_site_type_symbol
_atom_site_fract_x
_atom_site_fract_y
_atom_site_fract_z
_atom_site_occupancy
Na1 Na 0.000 0.000 0.000 1
Tb1 Tb 0.000 0.000 0.500 1
Ge1 Ge 0.250 0.250 0.250 1
Au1 Au 0.250 0.250 0.750 1
```

Values from the calculation:
E_form = -0.4950 eV/atom
Total DFT energy (no corrections) = -3.96 eV per atom
Volume = 352 Å³/cell
Size of the total moment = 0.00 μB per cell

---

(7)
Computed, not measured: Na2GeTe4Au after structural relaxation at the GGA-PBE level of DFT.

CIF file:
```
data_Na2GeTe4Au
_chemical_formula_sum 'Na4 Ge2 Te8 Au2'
_cell_length_a 8.892
_cell_length_b 7.498
_cell_length_c 7.351
_cell_angle_alpha 90.00
_cell_angle_beta 90.00
_cell_angle_gamma 90.00
_symmetry_space_group_name_H-M 'P m n 21'
_symmetry_Int_Tables_number 31
_symmetry_space_group_name_Hall 'P 2ac -2'
loop_
_atom_site_label
_atom_site_type_symbol
_atom_site_fract_x
_atom_site_fract_y
_atom_site_fract_z
_atom_site_occupancy
Na1 Na 0.225 0.146 0.000 1
Ge1 Ge 0.000 0.756 0.888 1
Te1 Te 0.000 0.049 0.689 1
Te2 Te 0.000 0.877 0.229 1
Te3 Te 0.243 0.550 0.823 1
Au1 Au 0.000 0.253 0.321 1
```

Values from the calculation:
Total DFT energy (no corrections) = -3.23 eV per atom
Volume = 490 Å³/cell
Size of the total moment = 0.00 μB per cell
Formation energy from raw total energies = -7.87 kcal/mol of atoms

---

(8)
Computed, not measured: NaGeTe3Au after structural relaxation at the GGA-PBE level of DFT.

CIF file:
```
data_NaGeTe3Au
_chemical_formula_sum 'Na2 Ge2 Te6 Au2'
_cell_length_a 9.175
_cell_length_b 4.099
_cell_length_c 10.288
_cell_angle_alpha 90.00
_cell_angle_beta 104.86
_cell_angle_gamma 90.00
_symmetry_space_group_name_H-M 'P 1 21/m 1'
_symmetry_Int_Tables_number 11
_symmetry_space_group_name_Hall '-P 2yb'
loop_
_atom_site_label
_atom_site_type_symbol
_atom_site_fract_x
_atom_site_fract_y
_atom_site_fract_z
_atom_site_occupancy
Na1 Na 0.010 0.250 0.260 1
Ge1 Ge 0.385 0.250 0.518 1
Te1 Te 0.155 0.750 0.064 1
Te2 Te 0.178 0.750 0.511 1
Te3 Te 0.448 0.250 0.793 1
Au1 Au 0.353 0.250 0.144 1
```

Values from the calculation:
Total DFT energy (no corrections) = -3.40 eV per atom
Volume = 374 Å³/cell
Size of the total moment = 0.00 μB per cell
Formation energy from raw total energies = -6.83 kcal/mol of atoms

---

(9)
Computed, not measured: NaThGeAu after structural relaxation at the GGA-PBE level of DFT.

CIF file:
```
data_NaThGeAu
_chemical_formula_sum 'Na4 Th4 Ge4 Au4'
_cell_length_a 7.219
_cell_length_b 7.219
_cell_length_c 7.219
_cell_angle_alpha 90.00
_cell_angle_beta 90.00
_cell_angle_gamma 90.00
_symmetry_space_group_name_H-M 'F -4 3 m'
_symmetry_Int_Tables_number 216
_symmetry_space_group_name_Hall 'F -4 2 3'
loop_
_atom_site_label
_atom_site_type_symbol
_atom_site_fract_x
_atom_site_fract_y
_atom_site_fract_z
_atom_site_occupancy
Na1 Na 0.000 0.000 0.000 1
Th1 Th 0.000 0.000 0.500 1
Ge1 Ge 0.250 0.250 0.750 1
Au1 Au 0.250 0.250 0.250 1
```

Values from the calculation:
E_form = -0.4560 eV/atom
Total DFT energy (no corrections) = -4.61 eV per atom
Volume = 376 Å³/cell
Size of the total moment = 0.00 μB per cell

---

(10)
Computed, not measured: NaTmGeAu after structural relaxation at the GGA-PBE level of DFT.

CIF file:
```
data_NaTmGeAu
_chemical_formula_sum 'Na4 Tm4 Ge4 Au4'
_cell_length_a 6.979
_cell_length_b 6.979
_cell_length_c 6.979
_cell_angle_alpha 90.00
_cell_angle_beta 90.00
_cell_angle_gamma 90.00
_symmetry_space_group_name_H-M 'F -4 3 m'
_symmetry_Int_Tables_number 216
_symmetry_space_group_name_Hall 'F -4 2 3'
loop_
_atom_site_label
_atom_site_type_symbol
_atom_site_fract_x
_atom_site_fract_y
_atom_site_fract_z
_atom_site_occupancy
Na1 Na 0.000 0.000 0.000 1
Tm1 Tm 0.000 0.000 0.500 1
Ge1 Ge 0.250 0.250 0.750 1
Au1 Au 0.250 0.250 0.250 1
```

Values from the calculation:
E_form = -0.4785 eV/atom
Total DFT energy (no corrections) = -3.90 eV per atom
Volume = 340 Å³/cell
Size of the total moment = 0.00 μB per cell

---

(11)
Computed, not measured: Na2GeWAu after structural relaxation at the GGA-PBE level of DFT.

CIF file:
```
data_Na2GeWAu
_chemical_formula_sum 'Na2 Ge1 W1 Au1'
_cell_length_a 5.460
_cell_length_b 5.460
_cell_length_c 4.730
_cell_angle_alpha 90.00
_cell_angle_beta 90.00
_cell_angle_gamma 90.00
_symmetry_space_group_name_H-M 'P 4/m m m'
_symmetry_Int_Tables_number 123
_symmetry_space_group_name_Hall '-P 4 2'
loop_
_atom_site_label
_atom_site_type_symbol
_atom_site_fract_x
_atom_site_fract_y
_atom_site_fract_z
_atom_site_occupancy
Na1 Na 0.000 0.500 0.000 1
Ge1 Ge 0.000 0.000 0.000 1
W1 W 0.500 0.500 0.500 1
Au1 Au 0.000 0.000 0.500 1
```

Values from the calculation:
E_form = 1.3464 eV/atom
Total DFT energy (no corrections) = -3.35 eV per atom
Volume = 141 Å³/cell
Size of the total moment = 4.77 μB per cell

---

(12)
Computed, not measured: NaYGeAu after structural relaxation at the GGA-PBE level of DFT.

CIF file:
```
data_NaYGeAu
_chemical_formula_sum 'Na4 Y4 Ge4 Au4'
_cell_length_a 7.054
_cell_length_b 7.054
_cell_length_c 7.054
_cell_angle_alpha 90.00
_cell_angle_beta 90.00
_cell_angle_gamma 90.00
_symmetry_space_group_name_H-M 'F -4 3 m'
_symmetry_Int_Tables_number 216
_symmetry_space_group_name_Hall 'F -4 2 3'
loop_
_atom_site_label
_atom_site_type_symbol
_atom_site_fract_x
_atom_site_fract_y
_atom_site_fract_z
_atom_site_occupancy
Na1 Na 0.000 0.000 0.000 1
Y1 Y 0.000 0.000 0.500 1
Ge1 Ge 0.250 0.250 0.750 1
Au1 Au 0.250 0.250 0.250 1
```

Values from the calculation:
E_form = -0.4960 eV/atom
Total DFT energy (no corrections) = -4.42 eV per atom
Volume = 351 Å³/cell
Size of the total moment = 0.00 μB per cell